# Ho2B2C3, optimized geometry, DFT GGA-PBE
# calculated total energy	-7.375	eV/atom
# formation enthalpy at 0 K	-206	meV per atom
# total magnetic moment	0.001	μB per formula unit
data_Ho2B2C3
_symmetry_space_group_name_H-M 'C 1 2/m 1'
_symmetry_Int_Tables_number 12
_cell_length_a 10.303
_cell_length_b 3.009
_cell_length_c 5.185
_cell_angle_alpha 90.00
_cell_angle_beta 94.42
_cell_angle_gamma 90.00
loop_
_symmetry_equiv_pos_as_xyz
'x,y,z'
'-x,-y,-z'
'-x,y,-z'
'x,-y,z'
'x+1/2,y+1/2,z'
'-x+1/2,-y+1/2,-z'
'-x+1/2,y+1/2,-z'
'x+1/2,-y+1/2,z'
loop_
_atom_site_label
_atom_site_type_symbol
_atom_site_fract_x
_atom_site_fract_y
_atom_site_fract_z
Ho1 Ho 0.143 0.000 0.255
B1 B 0.106 0.500 0.807
C1 C 0.000 0.500 0.000
C2 C 0.166 0.000 0.735

***

# Ho3B4C2, optimized geometry, DFT GGA-PBE
# calculated total energy	-6.940	eV/atom
# formation enthalpy at 0 K	-396	meV per atom
# total magnetic moment	0.000	μB per formula unit
data_Ho3B4C2
_symmetry_space_group_name_H-M 'C 1 2/m 1'
_symmetry_Int_Tables_number 12
_cell_length_a 9.704
_cell_length_b 3.051
_cell_length_c 7.419
_cell_angle_alpha 90.00
_cell_angle_beta 103.39
_cell_angle_gamma 90.00
loop_
_symmetry_equiv_pos_as_xyz
'x,y,z'
'-x,-y,-z'
'-x,y,-z'
'x,-y,z'
'x+1/2,y+1/2,z'
'-x+1/2,-y+1/2,-z'
'-x+1/2,y+1/2,-z'
'x+1/2,-y+1/2,z'
loop_
_atom_site_label
_atom_site_type_symbol
_atom_site_fract_x
_atom_site_fract_y
_atom_site_fract_z
Ho1 Ho 0.000 0.000 0.000
Ho2 Ho 0.188 0.500 0.668
B1 B 0.042 0.000 0.400
B2 B 0.242 0.500 0.026
C1 C 0.077 0.500 0.322

***

# Ho2BC2, optimized geometry, DFT GGA-PBE
# calculated total energy	-7.114	eV/atom
# formation enthalpy at 0 K	-258	meV per atom
# total magnetic moment	0.000	μB per formula unit
data_Ho2BC2
_symmetry_space_group_name_H-M 'C m c 21'
_symmetry_Int_Tables_number 36
_cell_length_a 3.130
_cell_length_b 13.796
_cell_length_c 6.165
_cell_angle_alpha 90.00
_cell_angle_beta 90.00
_cell_angle_gamma 90.00
loop_
_symmetry_equiv_pos_as_xyz
'x,y,z'
'-x,-y,z+1/2'
'-x,y,z'
'x,-y,z+1/2'
'x+1/2,y+1/2,z'
'-x+1/2,-y+1/2,z+1/2'
'-x+1/2,y+1/2,z'
'x+1/2,-y+1/2,z+1/2'
loop_
_atom_site_label
_atom_site_type_symbol
_atom_site_fract_x
_atom_site_fract_y
_atom_site_fract_z
Ho1 Ho 0.000 0.033 0.000
Ho2 Ho 0.000 0.224 0.316
B1 B 0.000 0.380 0.067
C1 C 0.000 0.144 0.680
C2 C 0.000 0.417 0.822

***

# Ho3BC3, optimized geometry, DFT GGA-PBE
# relative energy among the computed polymorphs	0.183	eV/atom
# calculated total energy	-7.026	eV/atom
# formation enthalpy at 0 K	-157	meV per atom
# total magnetic moment	0.000	μB per formula unit
data_Ho3BC3
_symmetry_space_group_name_H-M 'C m c m'
_symmetry_Int_Tables_number 63
_symmetry_space_group_name_Hall '-C 2c 2'
_cell_length_a 7.964
_cell_length_b 10.262
_cell_length_c 5.044
_cell_angle_alpha 90.00
_cell_angle_beta 90.00
_cell_angle_gamma 90.00
loop_
_atom_site_label
_atom_site_type_symbol
_atom_site_fract_x
_atom_site_fract_y
_atom_site_fract_z
Ho1 Ho 0.000 0.104 0.250
Ho2 Ho 0.214 0.374 0.250
B1 B 0.000 0.289 0.750
C1 C 0.000 0.121 0.750
C2 C 0.185 0.360 0.750

***

# Ho2BC3, optimized geometry, DFT GGA-PBE
# calculated total energy	-7.429	eV/atom
# formation enthalpy at 0 K	-178	meV per atom
# total magnetic moment	0.000	μB per formula unit
data_Ho2BC3
_symmetry_space_group_name_H-M 'F m m m'
_symmetry_Int_Tables_number 69
_symmetry_space_group_name_Hall '-F 2 2'
_cell_length_a 6.764
_cell_length_b 7.653
_cell_length_c 10.927
_cell_angle_alpha 90.00
_cell_angle_beta 90.00
_cell_angle_gamma 90.00
loop_
_atom_site_label
_atom_site_type_symbol
_atom_site_fract_x
_atom_site_fract_y
_atom_site_fract_z
Ho1 Ho 0.212 0.000 0.000
Ho2 Ho 0.250 0.250 0.250
B1 B 0.000 0.000 0.341
C1 C 0.000 0.000 0.201
C2 C 0.000 0.170 0.434

***

# Ho3BC3, optimized geometry, DFT GGA-PBE
# relative energy among the computed polymorphs	0.000	eV/atom
# calculated total energy	-7.208	eV/atom
# formation enthalpy at 0 K	-340	meV per atom
# total magnetic moment	0.000	μB per formula unit
data_Ho3BC3
_symmetry_space_group_name_H-M 'P 63/m'
_symmetry_Int_Tables_number 176
_symmetry_space_group_name_Hall '-P 6c'
_cell_length_a 6.9065
_cell_length_b 6.9065
_cell_length_c 5.1211
_cell_angle_alpha 90.00
_cell_angle_beta 90.00
_cell_angle_gamma 120.00
loop_
_atom_site_label
_atom_site_type_symbol
_atom_site_fract_x
_atom_site_fract_y
_atom_site_fract_z
Ho1 Ho 0.0668 0.7048 0.2500
B1 B 0.3333 0.6667 0.7500
C1 C 0.1038 0.6897 0.7500

***

# Ho2B4C, optimized geometry, DFT GGA-PBE
# calculated total energy	-7.022	eV/atom
# formation enthalpy at 0 K	-581	meV per atom
# total magnetic moment	0.000	μB per formula unit
data_Ho2B4C
_symmetry_space_group_name_H-M 'I m m m'
_symmetry_Int_Tables_number 71
_symmetry_space_group_name_Hall '-I 2 2'
_cell_length_a 3.263
_cell_length_b 6.563
_cell_length_c 7.495
_cell_angle_alpha 90.00
_cell_angle_beta 90.00
_cell_angle_gamma 90.00
loop_
_atom_site_label
_atom_site_type_symbol
_atom_site_fract_x
_atom_site_fract_y
_atom_site_fract_z
Ho1 Ho 0.000 0.000 0.235
B1 B 0.000 0.272 0.500
B2 B 0.000 0.365 0.000
C1 C 0.000 0.500 0.500

***

# Ho3Ni2B2C3, optimized geometry, DFT GGA-PBE
# calculated total energy	-7.068	eV/atom
# formation enthalpy at 0 K	-436	meV per atom
# total magnetic moment	0.000	μB per formula unit
data_Ho3Ni2B2C3
_symmetry_space_group_name_H-M 'I 4/m m m'
_symmetry_Int_Tables_number 139
_symmetry_space_group_name_Hall '-I 4 2'
_cell_length_a 3.563
_cell_length_b 3.563
_cell_length_c 20.317
_cell_angle_alpha 90.00
_cell_angle_beta 90.00
_cell_angle_gamma 90.00
loop_
_atom_site_label
_atom_site_type_symbol
_atom_site_fract_x
_atom_site_fract_y
_atom_site_fract_z
Ho1 Ho 0.000 0.000 0.000
Ho2 Ho 0.000 0.000 0.378
Ni1 Ni 0.000 0.500 0.250
B1 B 0.000 0.000 0.196
C1 C 0.000 0.000 0.123
C2 C 0.000 0.000 0.500

***

# HoNiB2C, optimized geometry, DFT GGA-PBE
# calculated total energy	-6.886	eV/atom
# formation enthalpy at 0 K	-298	meV per atom
# total magnetic moment	0.000	μB per formula unit
data_HoNiB2C
_symmetry_space_group_name_H-M 'C m c m'
_symmetry_Int_Tables_number 63
_symmetry_space_group_name_Hall '-C 2c 2'
_cell_length_a 3.659
_cell_length_b 9.865
_cell_length_c 5.961
_cell_angle_alpha 90.00
_cell_angle_beta 90.00
_cell_angle_gamma 90.00
loop_
_atom_site_label
_atom_site_type_symbol
_atom_site_fract_x
_atom_site_fract_y
_atom_site_fract_z
Ho1 Ho 0.000 0.092 0.250
Ni1 Ni 0.000 0.200 0.750
B1 B 0.000 0.362 0.097
C1 C 0.000 0.500 0.000

***

# Ho2B2Os2C, optimized geometry, DFT GGA-PBE
# calculated total energy	-8.220	eV/atom
# formation enthalpy at 0 K	-479	meV per atom
# total magnetic moment	0.000	μB per formula unit
data_Ho2B2Os2C
_symmetry_space_group_name_H-M 'C 1 2/m 1'
_symmetry_Int_Tables_number 12
_cell_length_a 10.803
_cell_length_b 3.680
_cell_length_c 6.585
_cell_angle_alpha 90.00
_cell_angle_beta 126.76
_cell_angle_gamma 90.00
loop_
_symmetry_equiv_pos_as_xyz
'x,y,z'
'-x,-y,-z'
'-x,y,-z'
'x,-y,z'
'x+1/2,y+1/2,z'
'-x+1/2,-y+1/2,-z'
'-x+1/2,y+1/2,-z'
'x+1/2,-y+1/2,z'
loop_
_atom_site_label
_atom_site_type_symbol
_atom_site_fract_x
_atom_site_fract_y
_atom_site_fract_z
Ho1 Ho 0.066 0.000 0.320
B1 B 0.179 0.500 0.739
Os1 Os 0.207 0.500 0.106
C1 C 0.000 0.500 0.000

***

# Ho2Re2B2C, optimized geometry, DFT GGA-PBE
# calculated total energy	-8.517	eV/atom
# formation enthalpy at 0 K	-427	meV per atom
# total magnetic moment	0.000	μB per formula unit
data_Ho2Re2B2C
_symmetry_space_group_name_H-M 'C 1 2/m 1'
_symmetry_Int_Tables_number 12
_cell_length_a 10.815
_cell_length_b 3.469
_cell_length_c 6.802
_cell_angle_alpha 90.00
_cell_angle_beta 128.13
_cell_angle_gamma 90.00
loop_
_symmetry_equiv_pos_as_xyz
'x,y,z'
'-x,-y,-z'
'-x,y,-z'
'x,-y,z'
'x+1/2,y+1/2,z'
'-x+1/2,-y+1/2,-z'
'-x+1/2,y+1/2,-z'
'x+1/2,-y+1/2,z'
loop_
_atom_site_label
_atom_site_type_symbol
_atom_site_fract_x
_atom_site_fract_y
_atom_site_fract_z
Ho1 Ho 0.074 0.000 0.326
Re1 Re 0.211 0.500 0.824
B1 B 0.120 0.500 0.066
C1 C 0.000 0.500 0.500

***

# HoBRu2C, optimized geometry, DFT GGA-PBE
# calculated total energy	-8.138	eV/atom
# formation enthalpy at 0 K	-332	meV per atom
# total magnetic moment	0.000	μB per formula unit
data_HoBRu2C
_symmetry_space_group_name_H-M 'C m c m'
_symmetry_Int_Tables_number 63
_symmetry_space_group_name_Hall '-C 2c 2'
_cell_length_a 3.540
_cell_length_b 10.813
_cell_length_c 7.010
_cell_angle_alpha 90.00
_cell_angle_beta 90.00
_cell_angle_gamma 90.00
loop_
_atom_site_label
_atom_site_type_symbol
_atom_site_fract_x
_atom_site_fract_y
_atom_site_fract_z
Ho1 Ho 0.000 0.050 0.250
B1 B 0.000 0.225 0.750
Ru1 Ru 0.000 0.330 0.065
C1 C 0.000 0.500 0.000